No. 1
Material: PrMg2Si2
Method: DFT, PBE
State: optimized geometry

Geometry as extended XYZ:
```
10
Lattice="4.618 0.000 0.000 0.000 4.274 0.000 -1.155 0.000 11.050" Properties=species:S:1:pos:R:3 pbc="T T T"
Pr 0.562 1.069 2.699
Pr 2.901 3.206 8.351
Mg 0.577 3.206 5.503
Mg 0.583 1.069 9.780
Mg 2.880 3.206 1.270
Mg 2.886 1.069 5.546
Si 0.592 3.206 0.125
Si 0.568 1.069 7.163
Si 2.895 3.206 3.886
Si 2.871 1.069 10.925
```

Properties
mass density: 3.7 Mg/m³
E above lowest polymorph: 0.101 eV per atom
energy relative to the elements, uncorrected: -0.334 eV/atom
total DFT energy (no corrections): -0.301 Ry/atom
symmetry: P2_1/m, No. 11

=====

No. 2
Material: NbVGaOs
Method: DFT, PBE
State: optimized geometry

Geometry as extended XYZ:
```
4
Lattice="0.000 3.132 3.132 3.132 0.000 3.132 3.132 3.132 0.000" Properties=species:S:1:pos:R:3 pbc="T T T"
Nb 0.000 0.000 0.000
V 4.697 4.697 4.697
Ga 3.132 3.132 3.132
Os 1.566 1.566 1.566
```

Properties
formation energy from the elements: -0.21 eV per atom
mass density: 10.9 Mg/m³
total DFT energy (no corrections): -0.630 Ry/atom
symmetry: F-43m, No. 216

=====

No. 3
Material: K6Na2PdO
Method: DFT, PBE
State: optimized geometry

Geometry as extended XYZ:
```
10
Lattice="5.971 -5.970 0.000 5.971 5.970 0.000 -5.964 0.000 5.981" Properties=species:S:1:pos:R:3 pbc="T T T"
K 0.001 0.000 2.709
K -3.257 0.000 5.980
K 5.971 3.264 0.000
K 5.971 -3.264 0.000
K 9.234 0.000 0.001
K 5.977 0.000 3.271
Na 2.989 2.990 2.990
Na 2.989 -2.990 2.990
Pd 5.971 0.000 0.000
O 0.000 0.000 0.000
```

Properties
mass density: 1.6 Mg/m³
energy relative to the elements, uncorrected: -0.257 eV/atom
total DFT energy (no corrections): -0.161 Ry/atom
symmetry: C2/m, No. 12

=====

No. 4
Material: HfZrS2
Method: DFT, PBE
State: optimized geometry

Geometry as extended XYZ:
```
4
Lattice="1.727 0.997 8.310 -1.727 0.997 8.310 0.000 -1.994 8.310" Properties=species:S:1:pos:R:3 pbc="T T T"
Hf 0.000 0.000 0.000
Zr 0.000 0.000 12.466
S 0.000 0.000 9.899
S 0.000 0.000 15.032
```

Properties
mass density: 6.5 Mg/m³
E above lowest polymorph: 0.473 eV per atom
energy relative to the elements, uncorrected: -1.006 eV/atom
total DFT energy (no corrections): -0.566 Ry/atom
symmetry: R-3m, No. 166

=====

No. 5
Material: PrTmCuPd
Method: DFT, PBE
State: optimized geometry

Geometry as extended XYZ:
```
4
Lattice="0.000 3.549 3.549 3.549 0.000 3.549 3.549 3.549 0.000" Properties=species:S:1:pos:R:3 pbc="T T T"
Pr 0.000 0.000 0.000
Tm 3.549 3.549 3.549
Cu 5.323 5.323 5.323
Pd 1.774 1.774 1.774
```

Properties
formation energy from the elements: -0.50 eV per atom
mass density: 8.9 Mg/m³
E above lowest polymorph: 0.031 eV per atom
total DFT energy (no corrections): -0.378 Ry/atom
symmetry: F-43m, No. 216

=====

No. 6
Material: Cu2TeAs
Method: DFT, PBE
State: optimized geometry

Geometry as extended XYZ:
```
4
Lattice="2.015 1.163 5.427 -2.015 1.163 5.427 0.000 -2.327 5.427" Properties=species:S:1:pos:R:3 pbc="T T T"
Cu 0.000 0.000 0.000
Cu 0.000 0.000 3.247
Te 0.000 0.000 7.066
As 0.000 0.000 9.846
```

Properties
mass density: 7.2 Mg/m³
E above lowest polymorph: 0.081 eV per atom
energy relative to the elements, uncorrected: 0.140 eV/atom
total DFT energy (no corrections): -0.283 Ry/atom
symmetry: R3m, No. 160

=====

No. 7
Material: Li5Mg4Hg
Method: DFT, PBE
State: optimized geometry

Geometry as extended XYZ:
```
10
Lattice="3.459 0.000 0.000 0.000 3.459 0.000 0.000 0.000 16.402" Properties=species:S:1:pos:R:3 pbc="T T T"
Li 0.000 0.000 0.000
Li 0.000 0.000 3.345
Li 0.000 0.000 6.761
Li 0.000 0.000 9.642
Li 0.000 0.000 13.058
Mg 1.729 1.729 1.657
Mg 1.729 1.729 5.032
Mg 1.729 1.729 11.370
Mg 1.729 1.729 14.746
Hg 1.729 1.729 8.201
```

Properties
formation energy from the elements: -0.13 eV per atom
mass density: 2.8 Mg/m³
total DFT energy (no corrections): -0.129 Ry/atom
symmetry: P4/mmm, No. 123

=====

No. 8
Material: Mg12Hg3Rh
Method: DFT, PBE
State: optimized geometry

Geometry as extended XYZ:
```
16
Lattice="4.316 0.000 0.000 0.000 4.316 0.000 0.000 0.000 17.571" Properties=species:S:1:pos:R:3 pbc="T T T"
Mg 0.000 0.000 0.000
Mg 0.000 0.000 4.251
Mg 0.000 0.000 8.786
Mg 0.000 0.000 13.321
Mg 0.000 2.158 1.943
Mg 0.000 2.158 6.539
Mg 0.000 2.158 11.033
Mg 0.000 2.158 15.628
Mg 2.158 0.000 1.943
Mg 2.158 0.000 6.539
Mg 2.158 0.000 11.033
Mg 2.158 0.000 15.628
Hg 2.158 2.158 4.300
Hg 2.158 2.158 8.786
Hg 2.158 2.158 13.271
Rh 2.158 2.158 0.000
```

Properties
formation energy from the elements: -0.17 eV per atom
mass density: 5.1 Mg/m³
total DFT energy (no corrections): -0.139 Ry/atom
symmetry: P4/mmm, No. 123

=====

No. 9
Material: TaZn2Ru
Method: DFT, PBE
State: optimized geometry

Geometry as extended XYZ:
```
4
Lattice="2.867 0.000 0.000 0.000 4.146 0.000 -0.914 0.000 5.133" Properties=species:S:1:pos:R:3 pbc="T T T"
Ta 0.000 0.000 0.000
Zn 1.452 2.073 1.301
Zn 1.278 0.000 2.574
Ru -0.078 2.073 3.809
```

Properties
formation energy from the elements: -0.06 eV per atom
mass density: 11.2 Mg/m³
E above lowest polymorph: 0.057 eV per atom
total DFT energy (no corrections): -0.439 Ry/atom
symmetry: Pm, No. 6

=====

No. 10
Material: BeFeCo2H
Method: DFT, PBE
State: optimized geometry

Geometry as extended XYZ:
```
5
Lattice="3.673 0.000 0.000 0.000 3.673 0.000 0.000 0.000 3.204" Properties=species:S:1:pos:R:3 pbc="T T T"
Be 0.000 0.000 0.000
Fe 1.836 1.836 0.000
Co 0.000 1.836 1.602
Co 1.836 0.000 1.602
H 0.000 0.000 1.602
```

Properties
mass density: 7.1 Mg/m³
E above lowest polymorph: 0.025 eV per atom
total DFT energy (no corrections): -0.438 Ry/atom
symmetry: P4/mmm, No. 123

=====

No. 11
Material: BaAl2Rh
Method: DFT, PBE
State: optimized geometry

Geometry as extended XYZ:
```
4
Lattice="4.219 0.000 0.000 0.000 4.219 0.000 0.000 0.000 5.175" Properties=species:S:1:pos:R:3 pbc="T T T"
Ba 0.000 0.000 0.000
Al 0.000 2.110 2.587
Al 2.110 0.000 2.587
Rh 2.110 2.110 0.000
```

Properties
formation energy from the elements: 0.21 eV per atom
mass density: 5.3 Mg/m³
total DFT energy (no corrections): -0.293 Ry/atom
symmetry: P4/mmm, No. 123

=====

No. 12
Material: Be2BBr
Method: DFT, PBE
State: optimized geometry

Geometry as extended XYZ:
```
8
Lattice="-2.538 2.538 4.510 2.538 -2.538 4.510 2.538 2.538 -4.510" Properties=species:S:1:pos:R:3 pbc="T T T"
Be 3.808 0.936 -1.128
Be 0.936 1.269 1.128
Be -1.269 1.602 3.383
Be 1.602 1.269 5.638
B 0.000 0.000 0.000
B 0.000 2.538 2.255
Br 2.538 0.000 2.255
Br 0.000 0.000 4.510
```

Properties
mass density: 3.1 Mg/m³
E above lowest polymorph: 0.000 eV per atom
energy relative to the elements, uncorrected: 0.625 eV/atom
total DFT energy (no corrections): -0.244 Ry/atom
symmetry: I-42d, No. 122

=====

No. 13
Material: Li2CaGa
Method: DFT, PBE
State: optimized geometry

Geometry as extended XYZ:
```
4
Lattice="3.984 -2.287 0.000 3.984 2.287 0.000 -2.618 0.000 5.086" Properties=species:S:1:pos:R:3 pbc="T T T"
Li 0.000 0.000 0.000
Li 5.315 0.000 0.736
Ca 0.017 0.000 3.036
Ga 2.660 0.000 1.142
```

Properties
formation energy from the elements: -0.19 eV per atom
mass density: 2.2 Mg/m³
total DFT energy (no corrections): -0.176 Ry/atom
symmetry: Cm, No. 8

=====

No. 14
Material: Ac4CeRh4
Method: DFT, PBE
State: optimized geometry

Geometry as extended XYZ:
```
9
Lattice="7.406 -2.207 0.000 7.406 2.207 0.000 -4.640 0.000 8.096" Properties=species:S:1:pos:R:3 pbc="T T T"
Ac 0.065 0.000 3.030
Ac 3.971 0.000 1.627
Ac 6.200 0.000 6.468
Ac 10.107 0.000 5.065
Ce 7.406 0.000 0.000
Rh -3.046 0.000 7.819
Rh 0.905 0.000 6.096
Rh 9.267 0.000 1.999
Rh 13.218 0.000 0.276
```

Properties
formation energy from the elements: -0.65 eV per atom
mass density: 9.2 Mg/m³
total DFT energy (no corrections): -0.471 Ry/atom
symmetry: C2/m, No. 12

=====

No. 15
Material: NiSnH2
Method: DFT, PBE
State: optimized geometry

Geometry as extended XYZ:
```
8
Lattice="-2.356 2.356 4.182 2.356 -2.356 4.182 2.356 2.356 -4.182" Properties=species:S:1:pos:R:3 pbc="T T T"
Ni 0.000 0.000 0.000
Ni 0.000 2.356 2.091
Sn 2.356 0.000 2.091
Sn 0.000 0.000 4.182
H 0.234 1.178 1.046
H -1.178 2.121 3.137
H -0.234 3.533 1.046
H 1.178 2.590 3.137
```

Properties
mass density: 6.4 Mg/m³
E above lowest polymorph: 0.111 eV per atom
total DFT energy (no corrections): -0.290 Ry/atom
symmetry: I-42d, No. 122

=====

No. 16
Material: Cr2InAs
Method: DFT, PBE
State: optimized geometry

Geometry as extended XYZ:
```
4
Lattice="0.000 3.292 3.292 3.292 0.000 3.292 3.292 3.292 0.000" Properties=species:S:1:pos:R:3 pbc="T T T"
Cr 0.000 0.000 0.000
Cr 1.646 1.646 1.646
In 4.939 4.939 4.939
As 3.292 3.292 3.292
```

Properties
formation energy from the elements: 0.41 eV per atom
mass density: 6.8 Mg/m³
E above lowest polymorph: 0.267 eV per atom
total DFT energy (no corrections): -0.459 Ry/atom
symmetry: F-43m, No. 216

=====

No. 17
Material: SiRuBr2N
Method: DFT, PBE
State: optimized geometry

Geometry as extended XYZ:
```
5
Lattice="5.280 0.000 0.000 0.000 5.280 0.000 0.000 0.000 3.676" Properties=species:S:1:pos:R:3 pbc="T T T"
Si 0.000 0.000 0.000
Ru 2.640 2.640 1.838
Br 0.000 2.640 1.838
Br 2.640 0.000 1.838
N 2.640 2.640 0.000
```

Properties
mass density: 4.9 Mg/m³
energy relative to the elements, uncorrected: 0.603 eV/atom
total DFT energy (no corrections): -0.343 Ry/atom
symmetry: P4/mmm, No. 123

=====

No. 18
Material: LiTbSiHg
Method: DFT, PBE
State: optimized geometry

Geometry as extended XYZ:
```
4
Lattice="0.000 3.474 3.474 3.474 0.000 3.474 3.474 3.474 0.000" Properties=species:S:1:pos:R:3 pbc="T T T"
Li 0.000 0.000 0.000
Tb 3.474 3.474 3.474
Si 1.737 1.737 1.737
Hg 5.211 5.211 5.211
```

Properties
mass density: 7.8 Mg/m³
energy relative to the elements, uncorrected: -0.395 eV/atom
total DFT energy (no corrections): -0.254 Ry/atom
symmetry: F-43m, No. 216

=====

No. 19
Material: CuRuClO4
Method: DFT, PBE
State: optimized geometry

Geometry as extended XYZ:
```
14
Lattice="5.898 -3.421 0.000 5.898 3.421 0.000 -2.228 0.000 6.341" Properties=species:S:1:pos:R:3 pbc="T T T"
Cu 1.169 0.000 1.046
Cu 8.398 0.000 5.296
Ru 2.623 0.000 4.482
Ru 6.944 0.000 1.859
Cl -1.089 0.000 5.030
Cl 10.656 0.000 1.312
O 2.057 1.441 5.302
O 2.093 0.000 2.815
O 7.510 1.441 1.039
O 5.226 0.000 1.769
O 4.341 0.000 4.573
O 2.057 -1.441 5.302
O 7.474 0.000 3.526
O 7.510 -1.441 1.039
```

Properties
mass density: 3.4 Mg/m³
energy relative to the elements, uncorrected: -0.608 eV/atom
total DFT energy (no corrections): -0.413 Ry/atom
symmetry: C2/m, No. 12

=====

No. 20
Material: Er3ZnGa3
Method: DFT, PBE
State: optimized geometry

Geometry as extended XYZ:
```
14
Lattice="5.314 -2.174 0.000 5.314 2.174 0.000 -4.796 0.000 13.165" Properties=species:S:1:pos:R:3 pbc="T T T"
Er -1.434 0.000 5.012
Er -3.335 0.000 12.127
Er 1.511 0.000 2.913
Er 4.322 0.000 10.253
Er 9.167 0.000 1.038
Er 7.267 0.000 8.153
Zn -0.209 0.000 7.995
Zn 6.042 0.000 5.170
Ga 1.760 0.000 5.974
Ga -0.335 0.000 12.188
Ga 1.285 0.000 10.112
Ga 4.547 0.000 3.053
Ga 6.167 0.000 0.977
Ga 4.073 0.000 7.192
```

Properties
formation energy from the elements: -0.59 eV per atom
mass density: 8.5 Mg/m³
total DFT energy (no corrections): -0.296 Ry/atom
symmetry: C2/m, No. 12

=====

No. 21
Material: NaNiS
Method: DFT, PBE
State: optimized geometry

Geometry as extended XYZ:
```
6
Lattice="11.412 0.000 0.000 0.000 1.732 2.668 0.000 -1.732 2.668" Properties=species:S:1:pos:R:3 pbc="T T T"
Na 1.977 0.000 0.000
Na 9.435 0.000 0.000
Ni 4.498 0.000 3.290
Ni 6.914 0.000 3.290
S 0.000 0.000 3.365
S 5.706 0.000 5.128
```

Properties
mass density: 3.6 Mg/m³
energy relative to the elements, uncorrected: -0.109 eV/atom
total DFT energy (no corrections): -0.283 Ry/atom
symmetry: Amm2, No. 38

=====

No. 22
Material: Pr3HgPb2
Method: DFT, PBE
State: optimized geometry

Geometry as extended XYZ:
```
12
Lattice="8.605 -3.317 0.000 8.605 3.317 0.000 -1.480 0.000 6.411" Properties=species:S:1:pos:R:3 pbc="T T T"
Pr 7.494 2.323 4.808
Pr 5.096 0.724 2.557
Pr 4.356 -0.724 5.762
Pr 11.373 0.724 0.649
Pr 10.633 -0.724 3.854
Pr 8.235 -2.323 1.603
Hg 8.235 0.890 1.603
Hg 7.494 -0.890 4.808
Pb 2.661 0.699 0.337
Pb 1.921 -0.699 3.543
Pb 13.808 0.699 2.868
Pb 13.068 -0.699 6.074
```

Properties
formation energy from the elements: -0.46 eV per atom
mass density: 9.4 Mg/m³
E above lowest polymorph: 0.050 eV per atom
total DFT energy (no corrections): -0.304 Ry/atom
symmetry: C2/c, No. 15

=====

No. 23
Material: TaCrPt2
Method: DFT, PBE
State: optimized geometry

Geometry as extended XYZ:
```
4
Lattice="1.398 0.807 9.167 -1.398 0.807 9.167 0.000 -1.614 9.167" Properties=species:S:1:pos:R:3 pbc="T T T"
Ta 0.000 0.000 0.000
Cr 0.000 0.000 20.698
Pt 0.000 0.000 6.880
Pt 0.000 0.000 13.575
```

Properties
formation energy from the elements: -0.09 eV per atom
mass density: 16.7 Mg/m³
E above lowest polymorph: 0.406 eV per atom
total DFT energy (no corrections): -0.623 Ry/atom
symmetry: R3m, No. 160

=====

No. 24
Material: Dy2Er2Ir3
Method: DFT, PBE
State: optimized geometry

Geometry as extended XYZ:
```
7
Lattice="4.139 -2.390 0.000 4.139 2.390 0.000 -2.770 0.000 7.894" Properties=species:S:1:pos:R:3 pbc="T T T"
Dy -0.006 0.000 2.966
Dy 5.513 0.000 4.929
Er 2.758 0.000 1.002
Er 2.750 0.000 6.892
Ir 0.000 0.000 0.000
Ir -0.009 0.000 5.934
Ir 5.517 0.000 1.960
```

Properties
formation energy from the elements: -0.85 eV per atom
mass density: 13.1 Mg/m³
total DFT energy (no corrections): -0.534 Ry/atom
symmetry: C2/m, No. 12

=====

No. 25
Material: Pm2HgIr
Method: DFT, PBE
State: optimized geometry

Geometry as extended XYZ:
```
4
Lattice="0.000 3.655 3.655 3.655 0.000 3.655 3.655 3.655 0.000" Properties=species:S:1:pos:R:3 pbc="T T T"
Pm 1.828 1.828 1.828
Pm 5.483 5.483 5.483
Hg 0.000 0.000 0.000
Ir 3.655 3.655 3.655
```

Properties
formation energy from the elements: -0.52 eV per atom
mass density: 11.6 Mg/m³
E above lowest polymorph: 0.058 eV per atom
total DFT energy (no corrections): -0.381 Ry/atom
symmetry: Fm-3m, No. 225

=====

No. 26
Material: SmMg2Tl
Method: DFT, PBE
State: optimized geometry

Geometry as extended XYZ:
```
4
Lattice="3.866 0.000 0.000 0.000 3.866 0.000 0.000 0.000 7.105" Properties=species:S:1:pos:R:3 pbc="T T T"
Sm 0.000 0.000 0.000
Mg 1.933 1.933 1.914
Mg 1.933 1.933 5.191
Tl 0.000 0.000 3.553
```

Properties
formation energy from the elements: -0.09 eV per atom
mass density: 6.3 Mg/m³
E above lowest polymorph: 0.143 eV per atom
total DFT energy (no corrections): -0.195 Ry/atom
symmetry: P4/mmm, No. 123